Record 1
CaCu2Mo | PBE | relaxed

Cell: 4.624 4.624 4.624 Å, 60.00 60.00 60.00°
Element x y z (fractional)
Mo1 0.500 0.500 0.500
Cu1 0.250 0.250 0.250
Cu2 0.750 0.750 0.750
Ca1 0.000 0.000 0.000

* space group: No. 225

---

Record 2
CaCu2Mo | PBE | relaxed

Cell: 9.432 9.432 9.432 Å, 17.61 17.61 17.61°
Element x y z (fractional)
Cu1 0.506 0.506 0.506
Cu2 0.994 0.994 0.994
Ca1 0.750 0.750 0.750
Mo1 0.250 0.250 0.250

* space group: No. 166

---

Summary of density in g cm⁻³
6.251 6.516
(order as listed above)
Summary of ΔH_f (0 K) in eV per atom
0.52 0.65
(order as listed above)